Material: P2OsPd2
Method: DFT, PBE
State: relaxed

Lattice parameters (Å, degrees): 5.9730 5.9730 4.2920 90.00 90.00 90.00
Sites, in units of the cell vectors:
P1 0.3688 0.8688 0.0000
P2 0.8688 0.6312 0.0000
P3 0.6312 0.1312 0.0000
P4 0.1312 0.3688 0.0000
Os1 0.0000 0.0000 0.0000
Os2 0.5000 0.5000 0.0000
Pd1 0.2577 0.7577 0.5000
Pd2 0.7577 0.7423 0.5000
Pd3 0.7423 0.2423 0.5000
Pd4 0.2423 0.2577 0.5000

Computed properties:
**D(E_F)**: 2.0 states/eV/f.u.
**Final energy**: -6.740 eV/atom
**Energy relative to the elements**: -1.262 eV/f.u.
**Space-group type**: No. 127
**Volume**: 77 Å³/f.u.